First-principles (GGA-PBE) data for a relaxed structure of VZnH, as listed in Alexandria.

Output
Final energy in eV per atom: -3.49
DOS at the Fermi energy in states/eV per cell: 1.17
Crystal system: cubic
Energy relative to the lowest polymorph listed for this composition in meV per atom: 1142

Cell lengths 3.838, 3.838, 3.838 Å; angles 60.00, 60.00, 60.00 degrees
Atoms (fractional coordinates):
Zn 0.750 0.750 0.750
H 0.250 0.250 0.250
V 0.500 0.500 0.500

First-principles (GGA-PBE) data for a relaxed structure of Ce8In3Ga2, as listed in Alexandria.

Output
Final energy in eV per atom: -4.97
DOS at the Fermi energy in states/eV per cell: 32.18
Formation energy from the elements in meV/atom: -225
Crystal system: monoclinic

Cell lengths 5.813, 11.107, 7.996 Å; angles 133.98, 72.55, 90.00 degrees
Atoms (fractional coordinates):
Ga 0.681 0.714 0.429
Ga 0.319 0.286 0.571
In 0.000 0.753 0.000
In 0.500 0.000 0.000
In 0.000 0.247 0.000
Ce 0.242 0.559 0.117
Ce 0.126 0.821 0.642
Ce 0.636 0.075 0.647
Ce 0.758 0.441 0.883
Ce 0.636 0.572 0.647
Ce 0.874 0.179 0.358
Ce 0.364 0.925 0.353
Ce 0.364 0.428 0.353

First-principles (GGA-PBE) data for a relaxed structure of Ba2CrSnAs, as listed in Alexandria.

Output
Final energy in eV per atom: -4.43
DOS at the Fermi energy in states/eV per cell: 5.83
Formation energy from the elements in meV/atom: -10
Crystal system: tetragonal

Cell lengths 6.425, 4.560, 6.425 Å; angles 90.00, 90.00, 90.00 degrees
Atoms (fractional coordinates):
As 0.000 0.500 0.000
Ba 0.000 0.000 0.500
Ba 0.500 0.000 0.000
Cr 0.000 0.000 0.000
Sn 0.500 0.500 0.500

First-principles (GGA-PBE) data for a relaxed structure of ZrTl3Cl, as listed in Alexandria.

Output
Uncorrected formation energy in kcal/mol of atoms: 7.8
Final energy in eV per atom: -3.16
DOS at the Fermi energy in states/eV per cell: 4.88
Crystal system: cubic
Energy relative to the lowest polymorph listed for this composition in meV per atom: 0

Cell lengths 5.808, 5.808, 5.808 Å; angles 90.00, 90.00, 90.00 degrees
Atoms (fractional coordinates):
Tl 0.000 0.000 0.500
Tl 0.000 0.500 0.000
Tl 0.500 0.000 0.000
Cl 0.500 0.500 0.500
Zr 0.000 0.000 0.000

First-principles (GGA-PBE) data for a relaxed structure of AgMo2P, as listed in Alexandria.

Output
Final energy in eV per atom: -7.26
DOS at the Fermi energy in states/eV per cell: 4.57
Formation energy from the elements in meV/atom: 218
Crystal system: trigonal

Cell lengths 8.771, 8.771, 8.771 Å; angles 18.99, 18.99, 18.99 degrees
Atoms (fractional coordinates):
Mo 0.239 0.239 0.239
Mo 0.761 0.761 0.761
P 0.500 0.500 0.500
Ag 0.000 0.000 0.000

First-principles (GGA-PBE) data for a relaxed structure of Pr3Al2BRu3, as listed in Alexandria.

Output
Final energy in eV per atom: -6.37
DOS at the Fermi energy in states/eV per cell: 6.17
Formation energy from the elements in meV/atom: -108
Crystal system: hexagonal

Cell lengths 3.634, 7.519, 7.519 Å; angles 120.00, 90.00, 90.00 degrees
Atoms (fractional coordinates):
B 0.000 0.000 0.000
Ru 0.500 0.782 0.000
Ru 0.500 0.000 0.782
Ru 0.500 0.218 0.218
Al 0.500 0.333 0.667
Al 0.500 0.667 0.333
Pr 0.000 0.641 0.641
Pr 0.000 0.359 0.000
Pr 0.000 0.000 0.359

First-principles (GGA-PBE) data for a relaxed structure of Ti5Zn2In, as listed in Alexandria.

Output
Final energy in eV per atom: -5.75
DOS at the Fermi energy in states/eV per cell: 8.24
Formation energy from the elements in meV/atom: -152
Crystal system: tetragonal
Energy relative to the lowest polymorph listed for this composition in meV per atom: 0

Cell lengths 4.074, 4.074, 8.610 Å; angles 103.69, 103.69, 90.00 degrees
Atoms (fractional coordinates):
In 0.000 0.000 0.000
Ti 0.632 0.132 0.263
Ti 0.368 0.868 0.737
Ti 0.868 0.368 0.737
Ti 0.132 0.632 0.263
Ti 0.500 0.500 0.000
Zn 0.750 0.750 0.501
Zn 0.250 0.250 0.499

First-principles (GGA-PBE) data for a relaxed structure of LiSi2Sb, as listed in Alexandria.

Output
Uncorrected formation energy in kcal/mol of atoms: 3.9
Final energy in eV per atom: -4.05
DOS at the Fermi energy in states/eV per cell: 0.92
Crystal system: monoclinic

Cell lengths 4.689, 4.689, 4.954 Å; angles 72.35, 72.35, 46.07 degrees
Atoms (fractional coordinates):
Si 0.026 0.026 0.925
Si 0.735 0.735 0.782
Li 0.486 0.486 0.533
Sb 0.253 0.253 0.259